TbPrGa: relaxed, PBE-GGA.

POSCAR file:
```
TbPrGa
1.0
8.033 0.000 0.000
-4.017 6.957 0.000
0.000 0.000 4.517
Tb Pr Ga
3 3 3
direct
0.000 0.267 0.000 Tb
0.267 0.000 0.000 Tb
0.733 0.733 0.000 Tb
0.000 0.600 0.500 Pr
0.400 0.400 0.500 Pr
0.600 0.000 0.500 Pr
0.000 0.000 0.500 Ga
0.333 0.667 0.000 Ga
0.667 0.333 0.000 Ga
```

- crystal system = hexagonal
- excess energy over the best structure of this formula in the dataset (eV per formula unit) = 0.000
- Fermi-level density of states (states/eV per cell) = 10.68